(1)
{
  "formula": "BaMnAgO3",
  "functional": "PBE+U",
  "state": "optimized geometry",
  "volume_a3_per_atom": 17.48,
  "total_magnetization_mub_per_cell": 2.00,
  "final_energy_ry_per_atom": -0.4131,
  "lattice_angstrom": [[-4.7210, 3.8706, -1.8274], [-3.0451, -0.7090, -5.5528], [-6.3063, -2.7774, 0.5772]],
  "species": ["O", "Ag", "O", "Ba", "Mn", "O", "Ba", "O", "Mn", "Ag", "O", "O"],
  "frac_coords": [[0.3190, 0.8193, 0.1610], [0.2736, 0.7264, 0.5000], [0.6810, 0.1807, 0.8390], [0.6978, 0.6978, 0.7999], [0.0178, 0.0178, 0.8293], [0.8101, 0.8101, 0.3460], [0.3022, 0.3022, 0.2001], [0.1807, 0.6810, 0.8390], [0.9822, 0.9822, 0.1707], [0.7264, 0.2736, 0.5000], [0.8193, 0.3190, 0.1610], [0.1899, 0.1899, 0.6540]]
}

***

(2)
{
  "formula": "Ba3MnAg2O6",
  "functional": "PBE+U",
  "state": "optimized geometry",
  "volume_a3_per_atom": 17.42,
  "total_magnetization_mub_per_cell": 2.89,
  "final_energy_ry_per_atom": -0.4100,
  "lattice_angstrom": [[-4.6686, 0.6832, 3.6958], [4.1551, -4.1612, 1.1582], [3.4937, 4.4861, 3.5840]],
  "species": ["Ag", "O", "Ag", "Ba", "O", "O", "O", "Mn", "O", "Ba", "Ba", "O"],
  "frac_coords": [[0.6667, 0.3333, 0.8601], [0.8447, 0.1553, 0.6715], [0.3333, 0.6667, 0.1399], [0.0000, 0.0000, 0.0000], [0.1553, 0.3107, 0.3285], [0.8447, 0.6893, 0.6715], [0.1553, 0.8447, 0.3285], [0.0000, 0.0000, 0.5000], [0.6893, 0.8447, 0.3285], [0.6667, 0.3333, 0.3738], [0.3333, 0.6667, 0.6262], [0.3107, 0.1553, 0.6715]]
}

***

(3)
{
  "formula": "BaMnV2Ag2O8",
  "functional": "PBE+U",
  "state": "optimized geometry",
  "volume_a3_per_atom": 14.66,
  "total_magnetization_mub_per_cell": 5.00,
  "final_energy_ry_per_atom": -0.4923,
  "lattice_angstrom": [[-5.4074, -0.0942, -1.5774], [1.4567, -1.7048, 5.1680], [-0.8629, 6.9689, 2.5421]],
  "species": ["O", "O", "Ag", "O", "O", "V", "O", "Ba", "O", "Mn", "Ag", "O", "V", "O"],
  "frac_coords": [[0.3333, 0.6667, 0.9807], [0.9181, 0.6652, 0.3182], [0.3333, 0.6667, 0.3090], [0.6652, 0.7471, 0.6818], [0.6667, 0.3333, 0.0193], [0.3333, 0.6667, 0.7520], [0.3348, 0.2529, 0.3182], [0.0000, 0.0000, 0.0000], [0.0819, 0.3348, 0.6818], [0.0000, 0.0000, 0.5000], [0.6667, 0.3333, 0.6910], [0.2529, 0.9181, 0.6818], [0.6667, 0.3333, 0.2480], [0.7471, 0.0819, 0.3182]]
}

***

Table of DOS(E_F) (states/eV/atom), in record order: 0.056 0.175 0.000